# 1
This record from Alexandria via LeMat-Bulk describes a relaxed structure of ZnIr3. The functional is PBEsol.

- DFT formation energy: 7.0 kcal/mol of atoms
- Density: 18.8 g cm⁻³
- Spin magnetization: 0.937 μB per cell

```
ZnIr3
1.0
0.0000 3.0474 3.0474
3.0474 0.0000 3.0474
3.0474 3.0474 0.0000
Zn Ir
1 3
Direct
0.0000 0.0000 0.0000
0.2500 0.2500 0.2500
0.5000 0.5000 0.5000
0.7500 0.7500 0.7500
```

# 2
This record from Alexandria via LeMat-Bulk describes a relaxed structure of ZnIr3. The functional is PBEsol.

- DFT formation energy: -0.8 kcal/mol of atoms
- Density: 19.1 g cm⁻³
- Spin magnetization: 0.000 μB per cell

```
ZnIr3
1.0
4.7012 0.0000 0.0000
0.0000 8.7807 0.0000
0.0000 0.0000 5.4035
Zn Ir
4 12
Direct
0.0767 0.2500 0.1322
0.4233 0.7500 0.6322
0.5767 0.2500 0.3678
0.9233 0.7500 0.8678
0.0817 0.2500 0.6313
0.2442 0.5040 0.3792
0.2442 0.9960 0.3792
0.2558 0.0040 0.8792
0.2558 0.4960 0.8792
0.4183 0.7500 0.1313
0.5817 0.2500 0.8687
0.7442 0.5040 0.1208
0.7442 0.9960 0.1208
0.7558 0.0040 0.6208
0.7558 0.4960 0.6208
0.9183 0.7500 0.3687
```

# 3
This record from Alexandria via LeMat-Bulk describes a relaxed structure of ZnIr2. The functional is PBEsol.

- DFT formation energy: -1.4 kcal/mol of atoms
- Density: 18.0 g cm⁻³
- Spin magnetization: 0.000 μB per cell

```
ZnIr2
1.0
1.3605 -6.8945 0.0000
1.3605 6.8945 0.0000
0.0000 0.0000 4.4289
Zn Ir
2 4
Direct
0.2233 0.7767 0.7500
0.7767 0.2233 0.2500
0.1121 0.8879 0.2500
0.4428 0.5572 0.2500
0.5572 0.4428 0.7500
0.8879 0.1121 0.7500
```